No. 1
## CaReRu (GGA-PBE)

Data for crystalline CaReRu at its relaxed geometry.

abc: 4.463 4.463 4.463
angles: 60.00 60.00 60.00
Sites, in units of the cell vectors:
Ru (0.500, 0.500, 0.500)
Ca (0.250, 0.250, 0.250)
Re (0.000, 0.000, 0.000)

* energy of formation from the pure elements: 2.153 eV per atom
* energy above the most stable polymorph in this dataset: 1.8163 eV per atom
* magnetic moment: 0.82 μB/atom
* raw total energy: -5.756 eV/atom
* D(E_F): 1.423 states/eV per atom

No. 2
## CaRe2Ru (GGA-PBE)

Data for crystalline CaRe2Ru at its relaxed geometry.

abc: 5.233 5.403 2.731
angles: 81.37 77.76 115.51
Sites, in units of the cell vectors:
Ru (0.000, 0.500, 0.500)
Re (0.500, 0.000, 0.500)
Re (0.000, 0.000, 0.000)
Ca (0.500, 0.500, 0.000)

* energy of formation from the pure elements: 0.611 eV per atom
* energy above the most stable polymorph in this dataset: 0.2136 eV per atom
* magnetic moment: 0.00 μB/atom
* raw total energy: -8.432 eV/atom
* D(E_F): 1.336 states/eV per atom

No. 3
## CaReRu2 (GGA-PBE)

Data for crystalline CaReRu2 at its relaxed geometry.

abc: 2.786 3.913 6.579
angles: 90.00 90.00 90.00
Sites, in units of the cell vectors:
Re (0.500, 0.500, 0.827)
Ru (0.500, 0.500, 0.204)
Ru (0.000, 0.000, 0.983)
Ca (0.000, 0.000, 0.486)

* energy of formation from the pure elements: 0.484 eV per atom
* energy above the most stable polymorph in this dataset: 0.2315 eV per atom
* magnetic moment: 0.00 μB/atom
* raw total energy: -7.766 eV/atom
* D(E_F): 1.317 states/eV per atom

No. 4
## CaRe2Ru (GGA-PBE)

Data for crystalline CaRe2Ru at its relaxed geometry.

abc: 5.489 5.489 5.489
angles: 147.75 127.30 63.15
Sites, in units of the cell vectors:
Ca (0.252, 0.752, 0.500)
Re (0.966, 0.966, 0.000)
Ru (0.529, 0.529, 0.000)
Re (0.754, 0.254, 0.500)

* energy of formation from the pure elements: 0.552 eV per atom
* energy above the most stable polymorph in this dataset: 0.1548 eV per atom
* magnetic moment: 0.00 μB/atom
* raw total energy: -8.491 eV/atom
* D(E_F): 0.791 states/eV per atom

No. 5
## Ca2ReRu (GGA-PBE)

Data for crystalline Ca2ReRu at its relaxed geometry.

abc: 5.662 5.662 5.090
angles: 63.34 63.34 40.56
Sites, in units of the cell vectors:
Re (0.442, 0.442, 0.558)
Ru (0.803, 0.803, 0.697)
Ca (0.019, 0.019, 0.981)
Ca (0.237, 0.237, 0.263)

* energy of formation from the pure elements: 0.389 eV per atom
* energy above the most stable polymorph in this dataset: 0.1322 eV per atom
* magnetic moment: 0.00 μB/atom
* raw total energy: -6.043 eV/atom
* D(E_F): 0.888 states/eV per atom

No. 6
## CaReRu2 (GGA-PBE)

Data for crystalline CaReRu2 at its relaxed geometry.

abc: 4.629 4.629 3.007
angles: 90.00 90.00 90.03
Sites, in units of the cell vectors:
Ru (0.500, 0.500, 0.000)
Re (0.000, 0.500, 0.500)
Ca (0.500, 0.000, 0.500)
Ru (0.000, 0.000, 0.000)

* energy of formation from the pure elements: 0.431 eV per atom
* energy above the most stable polymorph in this dataset: 0.1784 eV per atom
* magnetic moment: 0.00 μB/atom
* raw total energy: -7.819 eV/atom
* D(E_F): 0.748 states/eV per atom

No. 7
## CaReRu2 (GGA-PBE)

Data for crystalline CaReRu2 at its relaxed geometry.

abc: 2.987 2.987 7.640
angles: 90.00 90.00 90.00
Sites, in units of the cell vectors:
Ru (0.000, 0.000, 0.959)
Ru (0.000, 0.000, 0.541)
Re (0.500, 0.500, 0.750)
Ca (0.500, 0.500, 0.250)

* energy of formation from the pure elements: 0.253 eV per atom
* energy above the most stable polymorph in this dataset: 0.0000 eV per atom
* magnetic moment: 0.00 μB/atom
* raw total energy: -7.998 eV/atom
* D(E_F): 0.872 states/eV per atom

No. 8
## CaReRu2 (GGA-PBE)

Data for crystalline CaReRu2 at its relaxed geometry.

abc: 4.688 4.688 5.696
angles: 81.96 81.96 35.08
Sites, in units of the cell vectors:
Ca (0.750, 0.750, 0.750)
Ru (0.985, 0.985, 0.066)
Re (0.250, 0.250, 0.250)
Ru (0.515, 0.515, 0.434)

* energy of formation from the pure elements: 0.414 eV per atom
* energy above the most stable polymorph in this dataset: 0.1610 eV per atom
* magnetic moment: 0.00 μB/atom
* raw total energy: -7.837 eV/atom
* D(E_F): 0.738 states/eV per atom